# Ba2MoW

Ba2MoW after structural relaxation (PBE, the Alexandria database).

abc: 12.2629 12.2629 12.2629
angles: 14.57 14.57 14.57
Closest atoms and distances in Å follow each position.
Fractional positions:
Ba: 0.2500 0.2500 0.2500  6 Ba 3.11
Ba: 0.7500 0.7500 0.7500  6 Ba 3.11
Mo: 0.0000 0.0000 0.0000  6 Mo 3.11
W: 0.5000 0.5000 0.5000  6 W 3.11

Results
Relative energy among the computed polymorphs: 1.029 eV per atom
Raw total energy: -20.6 eV/f.u.
SG: R-3m
Formation energy from the elements: 1.77 eV per atom
Total moment: 0.0 μB per formula unit